La2Zn2GaPd5 | PBE-GGA | optimized geometry

Geometry as POSCAR:
```
La2Zn2GaPd5
1.0
-1.8982 1.2221 -2.9852
6.2037 -5.0526 -6.0131
-5.9933 -7.9977 0.5368
La Zn Ga Pd
4 4 2 10
Cartesian
3.1393 -4.8523 -3.9826
-2.9290 -8.1979 -1.4936
-0.8227 -3.4739 -0.8990
1.0330 -9.5763 -4.5772
-2.9714 -5.5646 -0.3886
3.1818 -7.4856 -5.0876
-1.4281 -10.1706 -3.2556
1.6384 -2.8796 -2.2207
0.0000 0.0000 0.0000
0.1052 -6.5251 -2.7381
-0.0482 -0.8916 -2.6806
-1.6397 -10.9366 -5.7809
-5.3560 -6.0655 -1.4237
0.7726 -6.4618 -5.4829
3.6682 -5.7626 -7.0378
-2.4605 -5.3664 -2.9786
-1.6896 -7.8385 -4.4808
0.0018 -3.9897 -3.9807
2.1527 -1.9152 -4.4992
-3.9458 -3.3878 -1.2242
```

Computed properties:
The space-group type is P4/mbm (127). The formation enthalpy at 0 K is -647 meV/atom.

=====

RbAsN3 | PBE-GGA | optimized geometry

Geometry as POSCAR:
```
RbAsN3
1.0
4.4121 0.0000 0.0000
0.0000 4.4121 0.0000
0.0000 0.0000 4.4121
As Rb N
1 1 3
Cartesian
2.2060 2.2060 2.2060
0.0000 0.0000 0.0000
0.0000 2.2060 0.0000
0.0000 0.0000 2.2060
2.2060 0.0000 0.0000
```

Computed properties:
The space-group type is Pm-3m (221). Its uncorrected formation energy is 3.4548 eV/atom.

=====

TcAsRu | PBE-GGA | optimized geometry

Geometry as POSCAR:
```
TcAsRu
1.0
-3.0194 2.2894 -1.6833
-3.2807 -1.8483 -1.7356
-3.7110 0.2111 1.8372
Ru As Tc
1 1 1
Cartesian
-2.5028 0.1631 -0.3954
-5.0055 0.3261 -0.7908
0.0000 0.0000 0.0000
```

Computed properties:
The space-group type is F-43m (216). The formation enthalpy at 0 K is 108 meV/atom.

=====

RbCuNiCl6 | PBE-GGA | optimized geometry

Geometry as POSCAR:
```
RbCuNiCl6
1.0
6.1382 0.3661 -0.1528
3.3776 5.8622 -0.3001
-0.1771 -0.3083 7.3275
Rb Cu Ni Cl
1 1 1 6
Cartesian
3.5114 5.7855 -0.3001
6.2137 4.0222 3.3622
3.0795 1.9240 3.5124
1.2699 2.1420 2.1990
2.1382 -0.0447 4.8657
4.8212 1.9969 4.8752
1.9855 3.3801 4.8288
4.3090 3.7269 2.1601
3.8873 0.3813 2.1469
```

Computed properties:
The space-group type is C2 (5). Its uncorrected formation energy is -0.7946 eV/atom.

=====

La5Si2Sn | PBE-GGA | optimized geometry

Geometry as POSCAR:
```
La5Si2Sn
1.0
-7.1747 0.2057 -3.7796
-2.9229 -5.4477 5.2519
2.8850 8.0254 3.6655
La Si Sn
10 4 2
Cartesian
-3.7634 2.1566 4.2147
-7.8601 -2.8423 3.0141
0.0000 0.0000 0.0000
-5.0488 -2.6210 0.7362
0.6475 5.6257 2.1237
-3.3783 4.9113 1.0217
0.2623 2.8710 5.3166
-3.8343 -2.1280 4.1160
-7.4749 -0.0876 -0.1788
-3.4491 0.6267 0.9231
-1.9529 -2.0704 1.5820
-4.7545 -0.5031 -1.7196
-5.3430 -4.7389 3.1919
-8.1446 -3.1717 -0.1096
-6.1307 0.0812 2.9370
-1.0819 2.7022 2.2008
```

Computed properties:
The space-group type is I4/mcm (140). Its uncorrected formation energy is -0.6584 eV/atom.

=====

Na3PdO | PBE-GGA | optimized geometry

Geometry as POSCAR:
```
Na3PdO
1.0
-0.7455 -2.9201 -3.4464
4.4986 -0.1637 -0.8344
0.4090 -3.5223 2.8959
Na O Pd
3 1 1
Cartesian
2.2493 -0.0819 -0.4172
0.2045 -1.7611 1.4480
-0.3728 -1.4600 -1.7232
0.0000 0.0000 0.0000
2.0810 -3.3030 -0.6924
```

Computed properties:
The space-group type is Pm-3m (221). Its uncorrected formation energy is -0.5049 eV/atom.

=====

TbThZnPb | PBE-GGA | optimized geometry

Geometry as POSCAR:
```
TbThZnPb
1.0
5.3534 0.0000 0.0000
2.6767 4.6362 0.0000
2.6767 1.5454 4.3710
Pb Zn Tb Th
1 1 1 1
Cartesian
5.3534 3.0908 2.1855
0.0000 0.0000 0.0000
8.0301 4.6362 3.2783
2.6767 1.5454 1.0928
```

Computed properties:
The space-group type is F-43m (216). The formation enthalpy at 0 K is -232 meV/atom.

=====

HfSbPd3 | PBE-GGA | optimized geometry

Geometry as POSCAR:
```
HfSbPd3
1.0
4.9028 0.0000 0.0000
0.0000 4.9028 0.0000
0.0000 0.0000 4.9028
Sb Hf Pd
1 1 3
Cartesian
2.4514 2.4514 2.4514
0.0000 0.0000 0.0000
0.0000 2.4514 0.0000
0.0000 0.0000 2.4514
2.4514 0.0000 0.0000
```

Computed properties:
The space-group type is Pm-3m (221). Its uncorrected formation energy is 0.4433 eV/atom.

=====

| no. | DOS at the Fermi energy (states/eV/f.u.) | VASP energy (eV/atom) | density (g/cm³) |
| --- | --- | --- | --- |
| 1 | 4.9 | -4.787 | 9.0 |
| 2 | 5.0 | -2.664 | 3.9 |
| 3 | 2.7 | -7.989 | 9.0 |
| 4 | 0.2 | -3.231 | 2.7 |
| 5 | 8.9 | -5.594 | 6.0 |
| 6 | 3.1 | -3.327 | 3.3 |
| 7 | 3.4 | -4.490 | 10.2 |
| 8 | 2.0 | -5.488 | 8.7 |